Computed, not measured: a relaxed structure of Ho2RuAuC at the PBE level of DFT.

Cell lengths 3.874, 4.959, 4.959 Å; angles 90.00, 90.00, 90.00 degrees
Atoms (fractional coordinates):
Au (0.500, 0.500, 0.500)
Ho (0.000, 0.000, 0.500)
Ho (0.000, 0.500, 0.000)
C (0.000, 0.000, 0.000)
Ru (0.500, 0.000, 0.000)

Computed properties:
ΔH_f (0 K) ... -0.58 eV per atom
Total magnetic moment ... 0.000 μB per formula unit
Total DFT energy (no corrections) ... -6.7623 eV/atom
Space group ... P4/mmm, No. 123

---

Computed, not measured: a relaxed structure of Hf6Sn2C at the PBE level of DFT.

Cell lengths 5.708, 5.708, 13.265 Å; angles 90.00, 90.00, 90.00 degrees
Atoms (fractional coordinates):
Hf (0.702, 0.702, 0.000)
Hf (0.311, 0.311, 0.616)
Hf (0.811, 0.189, 0.116)
Hf (0.689, 0.689, 0.384)
Hf (0.202, 0.798, 0.500)
Hf (0.798, 0.202, 0.500)
Hf (0.298, 0.298, 0.000)
Hf (0.189, 0.811, 0.116)
Hf (0.689, 0.689, 0.616)
Hf (0.311, 0.311, 0.384)
Hf (0.189, 0.811, 0.884)
Hf (0.811, 0.189, 0.884)
Sn (0.000, 0.000, 0.303)
Sn (0.500, 0.500, 0.803)
Sn (0.000, 0.000, 0.697)
Sn (0.500, 0.500, 0.197)
C (0.500, 0.500, 0.500)
C (0.000, 0.000, 0.000)

Computed properties:
ΔH_f (0 K) ... 0.13 eV per atom
Total magnetic moment ... 0.000 μB per formula unit
Total DFT energy (no corrections) ... -8.4226 eV/atom
Space group ... P4_2/mnm, No. 136

---

Computed, not measured: a relaxed structure of BeSn at the PBE level of DFT.

Cell lengths 4.310, 4.310, 5.334 Å; angles 90.00, 90.00, 120.00 degrees
Atoms (fractional coordinates):
Be (0.667, 0.333, 0.750)
Be (0.333, 0.667, 0.250)
Sn (0.333, 0.667, 0.750)
Sn (0.667, 0.333, 0.250)

Computed properties:
ΔH_f (0 K) ... 0.53 eV per atom
Total magnetic moment ... 0.000 μB per formula unit
Total DFT energy (no corrections) ... -3.3375 eV/atom
Space group ... P6_3/mmc, No. 194

---

Computed, not measured: a relaxed structure of Cd2Fe2N at the PBE level of DFT.

Cell lengths 5.296, 5.296, 5.318 Å; angles 90.00, 90.00, 90.00 degrees
Last column: magnetic moment on the atom in μB.
Atoms (fractional coordinates):
Cd (0.821, 0.321, 0.500)  0.00
Cd (0.321, 0.179, 0.500)  -0.01
Cd (0.179, 0.679, 0.500)  0.00
Cd (0.679, 0.821, 0.500)  -0.01
Fe (0.690, 0.190, 0.000)  2.23
Fe (0.810, 0.690, 0.000)  2.35
Fe (0.190, 0.310, 0.000)  2.35
Fe (0.310, 0.810, 0.000)  2.23
N (0.500, 0.500, 0.000)  -0.01
N (0.000, 0.000, 0.000)  -0.01

Computed properties:
Formation energy (no corrections) ... 6.4 kcal/mol of atoms
Total magnetic moment ... 4.532 μB per formula unit
Total DFT energy (no corrections) ... -5.1393 eV/atom
Space group ... P4/mbm, No. 127

---

Computed, not measured: a relaxed structure of ZnAgOs2 at the PBE level of DFT.

Cell lengths 9.263, 9.263, 9.263 Å; angles 17.19, 17.19, 17.19 degrees
Atoms (fractional coordinates):
Zn (0.503, 0.503, 0.503)
Ag (0.751, 0.751, 0.751)
Os (0.994, 0.994, 0.994)
Os (0.251, 0.251, 0.251)

Computed properties:
ΔH_f (0 K) ... 0.23 eV per atom
Total magnetic moment ... 0.000 μB per formula unit
Total DFT energy (no corrections) ... -6.4208 eV/atom
Space group ... R3m, No. 160

---

Computed, not measured: a relaxed structure of LaPm6Cd2 at the PBE level of DFT.

Cell lengths 6.199, 9.856, 9.856 Å; angles 72.58, 84.72, 84.72 degrees
Atoms (fractional coordinates):
Pm (0.692, 0.268, 0.970)
Pm (0.308, 0.732, 0.030)
Pm (0.665, 0.104, 0.353)
Pm (0.808, 0.030, 0.732)
Pm (0.510, 0.323, 0.561)
Pm (0.010, 0.561, 0.323)
Pm (0.990, 0.439, 0.677)
Pm (0.192, 0.970, 0.268)
Pm (0.490, 0.677, 0.439)
Pm (0.165, 0.353, 0.104)
Pm (0.335, 0.896, 0.647)
Pm (0.835, 0.647, 0.896)
Cd (0.095, 0.209, 0.464)
Cd (0.905, 0.791, 0.536)
Cd (0.405, 0.536, 0.791)
Cd (0.595, 0.464, 0.209)
La (0.750, 0.891, 0.109)
La (0.250, 0.109, 0.891)

Computed properties:
ΔH_f (0 K) ... -0.07 eV per atom
Total magnetic moment ... 0.000 μB per formula unit
Total DFT energy (no corrections) ... -3.9854 eV/atom
Space group ... C2/c, No. 15

---

What did the fifth record say?
Computed, not measured: a relaxed structure of ZnAgOs2 at the PBE level of DFT.

Cell lengths 9.263, 9.263, 9.263 Å; angles 17.19, 17.19, 17.19 degrees
Atoms (fractional coordinates):
Zn (0.503, 0.503, 0.503)
Ag (0.751, 0.751, 0.751)
Os (0.994, 0.994, 0.994)
Os (0.251, 0.251, 0.251)

Computed properties:
ΔH_f (0 K) ... 0.23 eV per atom
Total magnetic moment ... 0.000 μB per formula unit
Total DFT energy (no corrections) ... -6.4208 eV/atom
Space group ... R3m, No. 160